The following is a PBE calculation of a geometry-optimized Ho2Si4Ni3Rh structure, from the Alexandria database.

Lattice parameters (Å, degrees): 3.9516 3.9516 9.6975 90.00 90.00 90.00
Fractional positions:
Si 0.0000 0.5000 0.3612
Si 0.5000 0.0000 0.6388
Si 0.5000 0.5000 0.0000
Si 0.0000 0.0000 0.0000
Ho 0.0000 0.5000 0.7583
Ho 0.5000 0.0000 0.2417
Ni 0.0000 0.5000 0.1243
Ni 0.5000 0.0000 0.8757
Ni 0.0000 0.0000 0.5000
Rh 0.5000 0.5000 0.5000

Space group: P-4m2 (115)
Crystal system: tetragonal
Raw formation energy (eV/atom): -0.91
Energy (eV/cell): -64.653

---

The following is a PBE calculation of a geometry-optimized Ho2Si4NiRh3 structure, from the Alexandria database.

Lattice parameters (Å, degrees): 4.0472 4.0472 9.9475 90.00 90.00 90.00
Fractional positions:
Si 0.0000 0.0000 0.0000
Si 0.5000 0.0000 0.6294
Si 0.0000 0.5000 0.3706
Si 0.5000 0.5000 0.0000
Ho 0.5000 0.0000 0.2477
Ho 0.0000 0.5000 0.7523
Rh 0.5000 0.0000 0.8689
Rh 0.0000 0.0000 0.5000
Rh 0.0000 0.5000 0.1311
Ni 0.5000 0.5000 0.5000

Space group: P-4m2 (115)
Crystal system: tetragonal
Raw formation energy (eV/atom): -0.96
Energy (eV/cell): -68.306

---

The following is a PBE calculation of a geometry-optimized SmHoNiRh structure, from the Alexandria database.

Lattice parameters (Å, degrees): 3.8483 4.1235 5.6783 90.00 109.81 90.00
Fractional positions:
Ni 0.5767 0.5000 0.1534
Rh 0.4195 0.0000 0.8390
Sm 0.1427 0.0000 0.2853
Ho 0.8611 0.5000 0.7222

Formation enthalpy at 0 K (kJ/mol of formula units): -237.5
Space group: Amm2 (38)
Crystal system: orthorhombic
Energy (eV/cell): -24.891

---

The following is a PBE calculation of a geometry-optimized Ho2Ni2SnRh5 structure, from the Alexandria database.

Lattice parameters (Å, degrees): 3.8638 9.2457 9.2457 90.00 90.00 90.00
Fractional positions:
Rh 0.5000 0.7106 0.4297
Rh 0.5000 0.0703 0.7894
Rh 0.5000 0.5703 0.7106
Rh 0.5000 0.5000 0.0000
Rh 0.5000 0.0000 0.5000
Rh 0.5000 0.7894 0.9297
Rh 0.5000 0.2106 0.0703
Rh 0.5000 0.4297 0.2894
Rh 0.5000 0.2894 0.5703
Rh 0.5000 0.9297 0.2106
Ho 0.0000 0.6737 0.1737
Ho 0.0000 0.1737 0.3263
Ho 0.0000 0.3263 0.8263
Ho 0.0000 0.8263 0.6737
Ni 0.0000 0.1222 0.6222
Ni 0.0000 0.8778 0.3778
Ni 0.0000 0.3778 0.1222
Ni 0.0000 0.6222 0.8778
Sn 0.0000 0.0000 0.0000
Sn 0.0000 0.5000 0.5000

Formation enthalpy at 0 K (kJ/mol of formula units): -549.2
Space group: P4/mbm (127)
Crystal system: tetragonal
Energy (eV/cell): -134.340

---

The following is a PBE calculation of a geometry-optimized HoThNiRh structure, from the Alexandria database.

Lattice parameters (Å, degrees): 3.7435 4.4253 5.4910 90.00 109.93 90.00
Fractional positions:
Rh 0.4127 0.0000 0.8253
Ho 0.8635 0.5000 0.7269
Th 0.1392 0.0000 0.2785
Ni 0.5847 0.5000 0.1693

Formation enthalpy at 0 K (kJ/mol of formula units): -266.4
Space group: Amm2 (38)
Crystal system: orthorhombic
Energy (eV/cell): -27.891

---

The following is a PBE calculation of a geometry-optimized HoThNiRh structure, from the Alexandria database.

Lattice parameters (Å, degrees): 4.9230 4.9230 4.9230 60.00 60.00 60.00
Fractional positions:
Ho 0.0000 0.0000 0.0000
Rh 0.7500 0.7500 0.7500
Ni 0.2500 0.2500 0.2500
Th 0.5000 0.5000 0.5000

Formation enthalpy at 0 K (kJ/mol of formula units): -220.3
Space group: F-43m (216)
Crystal system: cubic
Energy (eV/cell): -27.413